Record 1
VASP calculation (PBE) on LaAgPd after structural relaxation.

```
data_LaAgPd
_chemical_formula_sum 'La1 Ag1 Pd1'
_cell_length_a 4.923
_cell_length_b 4.923
_cell_length_c 4.923
_cell_angle_alpha 60.00
_cell_angle_beta 60.00
_cell_angle_gamma 60.00
_symmetry_space_group_name_H-M 'P 1'
_symmetry_Int_Tables_number 1
loop_
_symmetry_equiv_pos_as_xyz
'x,y,z'
loop_
_atom_site_label
_atom_site_type_symbol
_atom_site_fract_x
_atom_site_fract_y
_atom_site_fract_z
_atom_site_occupancy
La1 La 0.000 0.000 0.000 1
Pd1 Pd 0.750 0.750 0.750 1
Ag1 Ag 0.250 0.250 0.250 1
```

## Properties
- DFT total energy (eV/atom) = -4.38
- spin magnetization (μB/f.u.) = 0.0
- crystal system = cubic



Record 2
VASP calculation (PBE) on LaAgPd after structural relaxation.

```
data_LaAgPd
_chemical_formula_sum 'La1 Ag1 Pd1'
_cell_length_a 4.779
_cell_length_b 4.779
_cell_length_c 4.779
_cell_angle_alpha 60.00
_cell_angle_beta 60.00
_cell_angle_gamma 60.00
_symmetry_space_group_name_H-M 'P 1'
_symmetry_Int_Tables_number 1
loop_
_symmetry_equiv_pos_as_xyz
'x,y,z'
loop_
_atom_site_label
_atom_site_type_symbol
_atom_site_fract_x
_atom_site_fract_y
_atom_site_fract_z
_atom_site_occupancy
Pd1 Pd 0.000 0.000 0.000 1
La1 La 0.750 0.750 0.750 1
Ag1 Ag 0.250 0.250 0.250 1
```

## Properties
- DFT total energy (eV/atom) = -4.80
- spin magnetization (μB/f.u.) = 0.0
- crystal system = cubic



Record 3
VASP calculation (PBE) on La2AgPd2 after structural relaxation.

```
data_La2AgPd2
_chemical_formula_sum 'La4 Ag2 Pd4'
_cell_length_a 7.832
_cell_length_b 7.832
_cell_length_c 3.957
_cell_angle_alpha 90.00
_cell_angle_beta 90.00
_cell_angle_gamma 90.00
_symmetry_space_group_name_H-M 'P 1'
_symmetry_Int_Tables_number 1
loop_
_symmetry_equiv_pos_as_xyz
'x,y,z'
loop_
_atom_site_label
_atom_site_type_symbol
_atom_site_fract_x
_atom_site_fract_y
_atom_site_fract_z
_atom_site_occupancy
La1 La 0.326 0.174 0.500 1
La2 La 0.826 0.326 0.500 1
Ag1 Ag 0.500 0.500 0.000 1
Pd1 Pd 0.871 0.629 0.000 1
La3 La 0.674 0.826 0.500 1
Ag2 Ag 0.000 0.000 0.000 1
La4 La 0.174 0.674 0.500 1
Pd2 Pd 0.371 0.871 0.000 1
Pd3 Pd 0.629 0.129 0.000 1
Pd4 Pd 0.129 0.371 0.000 1
```

## Properties
- DFT total energy (eV/atom) = -5.32
- spin magnetization (μB/f.u.) = 0.0
- crystal system = tetragonal



Record 4
VASP calculation (PBE) on LaPr2Si4Ag2Pd2 after structural relaxation.

```
data_LaPr2Si4Ag2Pd2
_chemical_formula_sum 'La1 Pr2 Si4 Ag2 Pd2'
_cell_length_a 12.747
_cell_length_b 12.747
_cell_length_c 12.747
_cell_angle_alpha 160.69
_cell_angle_beta 160.45
_cell_angle_gamma 27.61
_symmetry_space_group_name_H-M 'P 1'
_symmetry_Int_Tables_number 1
loop_
_symmetry_equiv_pos_as_xyz
'x,y,z'
loop_
_atom_site_label
_atom_site_type_symbol
_atom_site_fract_x
_atom_site_fract_y
_atom_site_fract_z
_atom_site_occupancy
Pr1 Pr 0.350 0.850 0.500 1
Si1 Si 0.452 0.452 0.000 1
Pd1 Pd 0.249 0.249 0.000 1
Ag1 Ag 0.099 0.599 0.500 1
Pr2 Pr 0.650 0.150 0.500 1
Si2 Si 0.548 0.548 0.000 1
Si3 Si 0.800 0.300 0.500 1
Si4 Si 0.200 0.700 0.500 1
La1 La 0.000 0.000 0.000 1
Pd2 Pd 0.751 0.751 0.000 1
Ag2 Ag 0.901 0.401 0.500 1
```

## Properties
- DFT total energy (eV/atom) = -5.45
- spin magnetization (μB/f.u.) = 0.0
- crystal system = orthorhombic



Record 5
VASP calculation (PBE) on La2PrTl3AgPd2 after structural relaxation.

```
data_La2PrTl3AgPd2
_chemical_formula_sum 'La2 Pr1 Tl3 Ag1 Pd2'
_cell_length_a 4.074
_cell_length_b 8.020
_cell_length_c 8.020
_cell_angle_alpha 120.15
_cell_angle_beta 90.00
_cell_angle_gamma 90.00
_symmetry_space_group_name_H-M 'P 1'
_symmetry_Int_Tables_number 1
loop_
_symmetry_equiv_pos_as_xyz
'x,y,z'
loop_
_atom_site_label
_atom_site_type_symbol
_atom_site_fract_x
_atom_site_fract_y
_atom_site_fract_z
_atom_site_occupancy
Ag1 Ag 0.000 0.001 0.001 1
La1 La 0.000 0.999 0.413 1
Tl1 Tl 0.500 0.997 0.737 1
La2 La 0.000 0.413 0.999 1
Tl2 Tl 0.500 0.737 0.997 1
Pd1 Pd 0.500 0.331 0.667 1
Pr1 Pr 0.000 0.588 0.588 1
Tl3 Tl 0.500 0.266 0.266 1
Pd2 Pd 0.500 0.667 0.331 1
```

## Properties
- DFT total energy (eV/atom) = -4.46
- spin magnetization (μB/f.u.) = 0.0
- crystal system = orthorhombic



Record 6
VASP calculation (PBE) on LaAgSn2Pd after structural relaxation.

```
data_LaAgSn2Pd
_chemical_formula_sum 'La2 Ag2 Sn4 Pd2'
_cell_length_a 4.591
_cell_length_b 4.591
_cell_length_c 11.157
_cell_angle_alpha 90.00
_cell_angle_beta 90.00
_cell_angle_gamma 90.00
_symmetry_space_group_name_H-M 'P 1'
_symmetry_Int_Tables_number 1
loop_
_symmetry_equiv_pos_as_xyz
'x,y,z'
loop_
_atom_site_label
_atom_site_type_symbol
_atom_site_fract_x
_atom_site_fract_y
_atom_site_fract_z
_atom_site_occupancy
Sn1 Sn 0.500 0.500 0.500 1
La1 La 0.500 0.000 0.252 1
La2 La 0.000 0.500 0.748 1
Sn2 Sn 0.000 0.000 0.500 1
Sn3 Sn 0.500 0.000 0.858 1
Ag1 Ag 0.500 0.500 0.000 1
Sn4 Sn 0.000 0.500 0.142 1
Pd1 Pd 0.500 0.000 0.625 1
Ag2 Ag 0.000 0.000 0.000 1
Pd2 Pd 0.000 0.500 0.375 1
```

## Properties
- DFT total energy (eV/atom) = -4.85
- spin magnetization (μB/f.u.) = 0.0
- crystal system = tetragonal



Record 7
VASP calculation (PBE) on La2Zn4AgPd after structural relaxation.

```
data_La2Zn4AgPd
_chemical_formula_sum 'La2 Zn4 Ag1 Pd1'
_cell_length_a 7.116
_cell_length_b 5.554
_cell_length_c 5.554
_cell_angle_alpha 48.62
_cell_angle_beta 90.00
_cell_angle_gamma 90.00
_symmetry_space_group_name_H-M 'P 1'
_symmetry_Int_Tables_number 1
loop_
_symmetry_equiv_pos_as_xyz
'x,y,z'
loop_
_atom_site_label
_atom_site_type_symbol
_atom_site_fract_x
_atom_site_fract_y
_atom_site_fract_z
_atom_site_occupancy
Zn1 Zn 0.316 0.630 0.630 1
La1 La 0.500 0.920 0.920 1
La2 La 0.000 0.084 0.084 1
Ag1 Ag 0.000 0.790 0.790 1
Zn2 Zn 0.809 0.369 0.369 1
Pd1 Pd 0.500 0.207 0.207 1
Zn3 Zn 0.684 0.630 0.630 1
Zn4 Zn 0.191 0.369 0.369 1
```

## Properties
- DFT total energy (eV/atom) = -3.32
- spin magnetization (μB/f.u.) = 0.0
- crystal system = orthorhombic



Record 8
VASP calculation (PBE) on LaPm2Ag2 after structural relaxation.

```
data_LaPm2Ag2
_chemical_formula_sum 'La2 Pm4 Ag4'
_cell_length_a 9.797
_cell_length_b 9.797
_cell_length_c 3.151
_cell_angle_alpha 90.00
_cell_angle_beta 90.00
_cell_angle_gamma 90.00
_symmetry_space_group_name_H-M 'P 1'
_symmetry_Int_Tables_number 1
loop_
_symmetry_equiv_pos_as_xyz
'x,y,z'
loop_
_atom_site_label
_atom_site_type_symbol
_atom_site_fract_x
_atom_site_fract_y
_atom_site_fract_z
_atom_site_occupancy
La1 La 0.000 0.000 0.000 1
Ag1 Ag 0.674 0.826 0.500 1
Pm1 Pm 0.375 0.875 0.500 1
Pm2 Pm 0.625 0.125 0.500 1
Ag2 Ag 0.326 0.174 0.500 1
Ag3 Ag 0.174 0.674 0.500 1
La2 La 0.500 0.500 0.000 1
Pm3 Pm 0.875 0.625 0.500 1
Ag4 Ag 0.826 0.326 0.500 1
Pm4 Pm 0.125 0.375 0.500 1
```

## Properties
- DFT total energy (eV/atom) = -3.70
- spin magnetization (μB/f.u.) = 0.0
- crystal system = tetragonal



Record 9
VASP calculation (PBE) on LaPr3Ag4 after structural relaxation.

```
data_LaPr3Ag4
_chemical_formula_sum 'La1 Pr3 Ag4'
_cell_length_a 5.972
_cell_length_b 4.913
_cell_length_c 7.531
_cell_angle_alpha 90.00
_cell_angle_beta 90.27
_cell_angle_gamma 90.00
_symmetry_space_group_name_H-M 'P 1'
_symmetry_Int_Tables_number 1
loop_
_symmetry_equiv_pos_as_xyz
'x,y,z'
loop_
_atom_site_label
_atom_site_type_symbol
_atom_site_fract_x
_atom_site_fract_y
_atom_site_fract_z
_atom_site_occupancy
Ag1 Ag 0.363 0.000 0.462 1
Ag2 Ag 0.635 0.500 0.541 1
Pr1 Pr 0.138 0.500 0.681 1
Ag3 Ag 0.138 0.000 0.960 1
La1 La 0.863 0.000 0.321 1
Ag4 Ag 0.863 0.500 0.036 1
Pr2 Pr 0.363 0.500 0.178 1
Pr3 Pr 0.636 0.000 0.822 1
```

## Properties
- DFT total energy (eV/atom) = -4.08
- spin magnetization (μB/f.u.) = 0.0
- crystal system = monoclinic



Record 10
VASP calculation (PBE) on LaPrSi3Ag after structural relaxation.

```
data_LaPrSi3Ag
_chemical_formula_sum 'La2 Pr2 Si6 Ag2'
_cell_length_a 8.452
_cell_length_b 8.376
_cell_length_c 6.050
_cell_angle_alpha 69.60
_cell_angle_beta 68.26
_cell_angle_gamma 42.14
_symmetry_space_group_name_H-M 'P 1'
_symmetry_Int_Tables_number 1
loop_
_symmetry_equiv_pos_as_xyz
'x,y,z'
loop_
_atom_site_label
_atom_site_type_symbol
_atom_site_fract_x
_atom_site_fract_y
_atom_site_fract_z
_atom_site_occupancy
Si1 Si 0.664 0.664 0.336 1
Si2 Si 0.336 0.336 0.664 1
Si3 Si 0.827 0.337 0.173 1
Si4 Si 0.663 0.173 0.337 1
Si5 Si 0.337 0.827 0.663 1
La1 La 0.743 0.257 0.743 1
Ag1 Ag 0.834 0.834 0.166 1
La2 La 0.257 0.743 0.257 1
Pr1 Pr 0.750 0.750 0.750 1
Si6 Si 0.173 0.663 0.827 1
Ag2 Ag 0.166 0.166 0.834 1
Pr2 Pr 0.250 0.250 0.250 1
```

## Properties
- DFT total energy (eV/atom) = -5.48
- spin magnetization (μB/f.u.) = 0.0
- crystal system = orthorhombic



Record 11
VASP calculation (PBE) on La2PrZn2Si4Ag2 after structural relaxation.

```
data_La2PrZn2Si4Ag2
_chemical_formula_sum 'La2 Pr1 Zn2 Si4 Ag2'
_cell_length_a 13.061
_cell_length_b 13.061
_cell_length_c 13.061
_cell_angle_alpha 161.36
_cell_angle_beta 160.90
_cell_angle_gamma 26.81
_symmetry_space_group_name_H-M 'P 1'
_symmetry_Int_Tables_number 1
loop_
_symmetry_equiv_pos_as_xyz
'x,y,z'
loop_
_atom_site_label
_atom_site_type_symbol
_atom_site_fract_x
_atom_site_fract_y
_atom_site_fract_z
_atom_site_occupancy
Si1 Si 0.546 0.546 0.000 1
Zn1 Zn 0.250 0.250 0.000 1
Zn2 Zn 0.750 0.750 0.000 1
Ag1 Ag 0.905 0.405 0.500 1
Pr1 Pr 0.000 0.000 0.000 1
Si2 Si 0.806 0.306 0.500 1
Ag2 Ag 0.095 0.595 0.500 1
Si3 Si 0.194 0.694 0.500 1
La1 La 0.649 0.149 0.500 1
Si4 Si 0.454 0.454 0.000 1
La2 La 0.351 0.851 0.500 1
```

## Properties
- DFT total energy (eV/atom) = -4.58
- spin magnetization (μB/f.u.) = 0.0
- crystal system = orthorhombic



Record 12
VASP calculation (PBE) on LaPr2Ag4Sn4 after structural relaxation.

```
data_LaPr2Ag4Sn4
_chemical_formula_sum 'La1 Pr2 Ag4 Sn4'
_cell_length_a 8.993
_cell_length_b 8.993
_cell_length_c 8.993
_cell_angle_alpha 149.63
_cell_angle_beta 131.02
_cell_angle_gamma 58.73
_symmetry_space_group_name_H-M 'P 1'
_symmetry_Int_Tables_number 1
loop_
_symmetry_equiv_pos_as_xyz
'x,y,z'
loop_
_atom_site_label
_atom_site_type_symbol
_atom_site_fract_x
_atom_site_fract_y
_atom_site_fract_z
_atom_site_occupancy
Ag1 Ag 0.636 0.330 0.306 1
Pr1 Pr 0.370 0.870 0.500 1
La1 La 0.000 0.000 0.000 1
Pr2 Pr 0.630 0.130 0.500 1
Ag2 Ag 0.024 0.330 0.694 1
Sn1 Sn 0.693 0.500 0.193 1
Ag3 Ag 0.976 0.670 0.306 1
Sn2 Sn 0.216 0.216 0.000 1
Sn3 Sn 0.784 0.784 0.000 1
Sn4 Sn 0.307 0.500 0.807 1
Ag4 Ag 0.364 0.670 0.694 1
```

## Properties
- DFT total energy (eV/atom) = -4.38
- spin magnetization (μB/f.u.) = 0.0
- crystal system = orthorhombic



Question: The highest DFT total energy belongs to which entry?
Answer: La2Zn4AgPd



Question: What is the formula in the second record?
Answer: LaAgPd